Entry 1:
Ac12Pr7Er | PBE | relaxed

abc: 20.9054 20.9054 6.7241
angles: 90.00 90.00 120.00
Space group R-3m (No. 166, hexagonal axes)
One atom of each set of equivalent atoms:
1 Ac 0.0000 0.4121 0.0000
2 Ac 0.1022 0.5511 0.4812
3 Pr 0.0000 0.0000 0.0000
4 Pr 0.0813 0.1625 0.3086
5 Er 0.0000 0.0000 0.5000

Summary:
Energy of formation, kJ per mole of atoms: 16.95
Energy, eV/cell: -251.42



Entry 2:
Ac4PrEr2 | PBE | relaxed

abc: 12.897 25.508 6.750
angles: 90.00 90.00 90.00
Space group Fdd2 (No. 43)
One atom of each set of equivalent atoms:
1 Ac 0.050 0.070 0.000
2 Ac 0.063 0.145 0.517
3 Pr 0.000 0.000 0.501
4 Er 0.024 0.217 0.041

Summary:
Energy of formation, kJ per mole of atoms: 11.23
Energy, eV/cell: -236.19